TbHoAs: relaxed, PBE.

Properties
Calculated formation energy: -731 meV/atom

Lattice parameters (Å, degrees): 3.641 3.641 11.851 90.00 90.00 90.00
Atoms (fractional coordinates):
Tb 0.000 0.000 0.000
Tb 0.500 0.500 0.500
Ho 0.000 0.000 0.723
Ho 0.500 0.500 0.223
As 0.000 0.000 0.359
As 0.500 0.500 0.859